AcCd2Ag2 GGA-PBE optimized geometry; ΔE to the lowest computed polymorph = 0 meV/atom; density of states at the Fermi level = 0.57 states/eV per atom; ρ = 8.68 Mg/m³; DFT formation energy = -5.78 kcal/mol of atoms; DFT total energy = -12.89 eV per cell; size of the total moment = 0.00 Bohr magnetons per cell
1.0
-2.617 -1.612 3.253
-1.964 -2.744 -2.940
6.643 -2.306 1.122
Ac Cd Ag
1 2 2
Direct
0.000 0.000 0.000
0.750 0.250 0.500
0.250 0.750 0.500
0.608 0.608 0.215
0.392 0.392 0.785

Nd3Sm3Dy2 GGA-PBE optimized geometry; density of states at the Fermi level = 1.65 states/eV per atom; ρ = 7.38 Mg/m³; DFT formation energy = 1.79 kcal/mol of atoms; DFT total energy = -37.04 eV per cell; size of the total moment = 0.00 Bohr magnetons per cell
1.0
5.813 0.000 0.000
0.000 6.058 -0.222
-2.907 -2.712 7.825
Nd Sm Dy
3 3 2
Direct
0.865 0.308 0.731
0.135 0.692 0.269
0.000 0.000 0.000
0.366 0.921 0.733
0.500 0.500 0.000
0.634 0.079 0.267
0.750 0.682 0.500
0.250 0.318 0.500

Th3ZrPt12 GGA-PBE optimized geometry; density of states at the Fermi level = 0.13 states/eV per atom; ρ = 17.65 Mg/m³; DFT formation energy = -24.62 kcal/mol of atoms; DFT total energy = -120.38 eV per cell; size of the total moment = 0.00 Bohr magnetons per cell
1.0
-2.005 -0.585 -3.647
-3.463 -1.144 2.088
-5.088 15.869 0.253
Th Zr Pt
3 1 12
Direct
0.000 0.000 0.244
0.000 0.000 0.500
0.000 0.000 0.756
0.000 0.000 0.000
0.500 0.500 0.000
0.500 0.500 0.244
0.500 0.500 0.500
0.500 0.500 0.756
0.500 0.000 0.116
0.500 0.000 0.372
0.500 0.000 0.628
0.500 0.000 0.884
0.000 0.500 0.116
0.000 0.500 0.372
0.000 0.500 0.628
0.000 0.500 0.884

Ce3HoSc2S6 GGA-PBE optimized geometry; density of states at the Fermi level = 1.34 states/eV per atom; ρ = 5.76 Mg/m³; DFT total energy = -83.41 eV per cell; size of the total moment = 2.43 Bohr magnetons per cell
1.0
6.682 -0.003 -0.002
-3.342 5.787 -0.002
-1.116 -1.932 6.475
Ce Ho Sc S
3 1 2 6
Direct
0.164 0.836 0.500
0.836 0.164 0.500
0.500 0.500 0.500
0.000 0.000 0.000
0.333 0.667 0.000
0.667 0.333 0.000
0.924 0.582 0.772
0.733 0.733 0.225
0.076 0.418 0.228
0.582 0.924 0.772
0.267 0.267 0.775
0.418 0.076 0.228

Ca2MgHgRh GGA-PBE optimized geometry; density of states at the Fermi level = 0.68 states/eV per atom; ρ = 4.61 Mg/m³; DFT formation energy = -6.19 kcal/mol of atoms; DFT total energy = -14.59 eV per cell; size of the total moment = 0.00 Bohr magnetons per cell
1.0
5.416 0.000 0.000
0.000 5.416 0.000
0.000 0.000 5.007
Mg Ca Rh Hg
1 2 1 1
Direct
0.000 0.000 0.500
0.000 0.500 0.000
0.500 0.000 0.000
0.000 0.000 0.000
0.500 0.500 0.500

Tl2CuAs GGA-PBE optimized geometry; ΔE to the lowest computed polymorph = 0 meV/atom; density of states at the Fermi level = 0.31 states/eV per atom; ρ = 8.35 Mg/m³; DFT formation energy = -0.67 kcal/mol of atoms; DFT total energy = -13.59 eV per cell; size of the total moment = 0.00 Bohr magnetons per cell
1.0
4.180 -0.008 0.004
2.098 3.615 0.004
2.075 1.192 7.195
Tl As Cu
2 1 1
Direct
0.972 0.972 0.083
0.778 0.778 0.668
0.541 0.541 0.376
0.209 0.209 0.373

CaHo2HgPd4 GGA-PBE optimized geometry; density of states at the Fermi level = 0.33 states/eV per atom; ρ = 10.12 Mg/m³; DFT formation energy = -16.82 kcal/mol of atoms; DFT total energy = -38.06 eV per cell; size of the total moment = 0.00 Bohr magnetons per cell
1.0
-2.864 -0.528 3.885
1.329 -2.960 3.612
3.250 4.922 6.100
Ca Ho Hg Pd
1 2 1 4
Direct
0.000 0.000 0.000
0.756 0.756 0.731
0.244 0.244 0.269
0.500 0.500 0.500
0.376 0.376 0.873
0.877 0.877 0.369
0.123 0.123 0.631
0.624 0.624 0.127

KTcPCl2 GGA-PBE optimized geometry; ΔE to the lowest computed polymorph = 0 meV/atom; density of states at the Fermi level = 0.52 states/eV per atom; ρ = 3.28 Mg/m³; DFT total energy = -23.09 eV per cell; size of the total moment = 1.50 Bohr magnetons per cell
1.0
5.161 0.000 0.000
0.000 5.161 0.000
0.000 0.000 4.547
P K Tc Cl
1 1 1 2
Direct
0.000 0.000 0.500
0.500 0.500 0.500
0.000 0.000 0.000
0.000 0.500 0.000
0.500 0.000 0.000

Zr2Cd2Rh3 GGA-PBE optimized geometry; density of states at the Fermi level = 0.58 states/eV per atom; ρ = 8.91 Mg/m³; DFT formation energy = -13.27 kcal/mol of atoms; DFT total energy = -45.01 eV per cell; size of the total moment = 0.00 Bohr magnetons per cell
1.0
4.434 -0.014 -1.233
-2.400 3.937 0.004
-0.219 -0.120 7.742
Zr Cd Rh
2 2 3
Direct
0.767 0.383 0.149
0.233 0.617 0.851
0.263 0.131 0.395
0.737 0.869 0.605
0.000 0.000 0.000
0.521 0.261 0.782
0.479 0.739 0.218

LiAlCr2 GGA-PBE optimized geometry; density of states at the Fermi level = 0.66 states/eV per atom; ρ = 4.59 Mg/m³; DFT formation energy = 5.19 kcal/mol of atoms; DFT total energy = -24.00 eV per cell; size of the total moment = 0.00 Bohr magnetons per cell
1.0
4.982 0.004 0.014
-2.122 4.392 -0.006
0.737 0.638 2.282
Al Cr Li
1 2 1
Direct
0.500 0.500 0.000
0.000 0.000 0.000
0.500 0.000 0.500
0.000 0.500 0.500

TiCrCu2Cl GGA-PBE optimized geometry; density of states at the Fermi level = 0.66 states/eV per atom; ρ = 4.72 Mg/m³; DFT total energy = -23.00 eV per cell; size of the total moment = 0.01 Bohr magnetons per cell
1.0
4.617 0.000 0.000
0.000 4.329 0.000
0.000 0.000 4.617
Cr Cl Cu Ti
1 1 2 1
Direct
0.000 0.000 0.000
0.500 0.500 0.500
0.000 0.000 0.500
0.500 0.000 0.000
0.000 0.500 0.000

MnV3W GGA-PBE optimized geometry; ΔE to the lowest computed polymorph = 0 meV/atom; density of states at the Fermi level = 0.88 states/eV per atom; ρ = 9.43 Mg/m³; DFT formation energy = 2.48 kcal/mol of atoms; DFT total energy = -97.88 eV per cell; size of the total moment = 0.00 Bohr magnetons per cell
1.0
-2.839 -0.228 -0.597
0.205 -6.463 1.491
-0.196 3.684 6.628
Mn V W
2 6 2
Direct
0.589 0.457 0.178
0.411 0.543 0.822
0.043 0.723 0.085
0.957 0.277 0.915
0.316 0.099 0.632
0.684 0.901 0.368
0.224 0.628 0.449
0.776 0.372 0.551
0.880 0.839 0.761
0.120 0.161 0.239